# 1
A plane-wave DFT calculation with PBE was carried out for crystalline YCd2 at its relaxed geometry.

The value obtained for the energy relative to the elements is -156 meV/atom. For the final energy, the calculation gives -2.92 eV per atom. The density of states at the Fermi level comes out at 10.78 states/eV/cell.

It has space group I4_1/amd (No. 141, origin choice 2), with a = 4.2198 Å, b = 4.2198 Å, c = 17.9844 Å, α = 90.00°, β = 90.00° and γ = 90.00°. The distinct sites, in fractional coordinates, are Y at (0.0000, 0.2500, 0.3750) and Cd at (0.0000, 0.2500, 0.7978).

# 2
A plane-wave DFT calculation with PBE was carried out for crystalline Sr3BrCl5 at its relaxed geometry.

For the final energy, the calculation gives -4.18 eV per atom. The density of states at the Fermi level comes out at 0.00 states/eV/cell. The formation energy without anion corrections is -2.403 eV per atom.

It has space group C2/m (No. 12), with a = 13.3677 Å, b = 9.5409 Å, c = 10.7654 Å, α = 90.00°, β = 112.32° and γ = 90.00°. The distinct sites, in fractional coordinates, are Sr at (0.0000, 0.0000, 0.0000), Sr at (0.0000, 0.0000, 0.5000), Sr at (0.1551, 0.5000, 0.1750), Sr at (0.1686, 0.5000, 0.6684), Br at (0.1110, 0.0000, 0.8029), Cl at (0.0000, 0.3075, 0.5000), Cl at (0.0745, 0.5000, 0.8776), Cl at (0.1613, 0.1946, 0.1739) and Cl at (0.2305, 0.0000, 0.5325).

# 3
A plane-wave DFT calculation with PBE was carried out for crystalline CdRe3Au at its relaxed geometry.

The value obtained for the energy relative to the elements is 3224 meV/atom. For the final energy, the calculation gives -5.08 eV per atom. The density of states at the Fermi level comes out at 8.27 states/eV/cell.

It has space group Pm-3m (No. 221), with a = 4.7775 Å, b = 4.7775 Å, c = 4.7775 Å, α = 90.00°, β = 90.00° and γ = 90.00°. The distinct sites, in fractional coordinates, are Cd at (0.0000, 0.0000, 0.0000), Re at (0.0000, 0.0000, 0.5000) and Au at (0.5000, 0.5000, 0.5000).

# 4
A plane-wave DFT calculation with PBE was carried out for crystalline KNdMnSe3 at its relaxed geometry.

For the final energy, the calculation gives -5.53 eV per atom. The formation energy without anion corrections is -1.285 eV per atom.

It has space group P2_1/m (No. 11), with a = 9.2042 Å, b = 4.3159 Å, c = 9.9241 Å, α = 90.00°, β = 105.50° and γ = 90.00°. The distinct sites, in fractional coordinates, are K at (0.1981, 0.2500, 0.2260), Nd at (0.3330, 0.7500, 0.8554), Mn at (0.0856, 0.2500, 0.6060), Se at (0.1077, 0.2500, 0.8590), Se at (0.1992, 0.7500, 0.5302) and Se at (0.4531, 0.7500, 0.1602).